## KTi2Al (PBE)

Data for KTi2Al after structural relaxation.

Output
Energy relative to the elements: 1013 meV/atom
Electronic total energy: -4.1447 eV per atom
N(E_F): 0.689 states/eV per atom

POSCAR file:
```
KTi2Al
1.0
-2.3143 2.3143 10.3675
2.3143 -2.3143 10.3675
2.3143 2.3143 -10.3675
K Ti Al
2 4 2
direct
0.0000 0.0000 0.0000
0.7500 0.2500 0.5000
0.3189 0.1250 0.6939
0.3750 0.6811 0.8061
0.4311 0.6250 0.3061
0.8750 0.5689 0.1939
0.2500 0.7500 0.5000
0.5000 0.5000 0.0000
```

=====

## KTiAl3 (PBE)

Data for KTiAl3 after structural relaxation.

Output
Energy relative to the elements: 1843 meV/atom
Electronic total energy: -2.2008 eV per atom
N(E_F): 1.149 states/eV per atom

POSCAR file:
```
KTiAl3
1.0
5.1233 0.0000 0.0000
0.0000 5.1233 0.0000
0.0000 0.0000 5.1233
K Ti Al
1 1 3
direct
0.0000 0.0000 0.0000
0.5000 0.5000 0.5000
0.0000 0.0000 0.5000
0.0000 0.5000 0.0000
0.5000 0.0000 0.0000
```

=====

## KTi3Al (PBE)

Data for KTi3Al after structural relaxation.

Output
Energy relative to the elements: 1069 meV/atom
Electronic total energy: -4.6360 eV per atom
N(E_F): 1.947 states/eV per atom

POSCAR file:
```
KTi3Al
1.0
5.0594 0.0000 0.0000
0.0000 5.0594 0.0000
0.0000 0.0000 5.0594
K Ti Al
1 3 1
direct
0.0000 0.0000 0.0000
0.0000 0.5000 0.5000
0.5000 0.0000 0.5000
0.5000 0.5000 0.0000
0.5000 0.5000 0.5000
```

=====

## KTi3Al (PBE)

Data for KTi3Al after structural relaxation.

Output
Energy relative to the elements: 1811 meV/atom
Electronic total energy: -3.8943 eV per atom
N(E_F): 0.488 states/eV per atom

POSCAR file:
```
KTi3Al
1.0
4.5076 0.0000 0.0000
0.0000 4.5076 0.0000
0.0000 0.0000 4.5076
K Ti Al
1 3 1
direct
0.0000 0.0000 0.0000
0.0000 0.0000 0.5000
0.0000 0.5000 0.0000
0.5000 0.0000 0.0000
0.5000 0.5000 0.5000
```

=====

## KTiAlTl2 (PBE)

Data for KTiAlTl2 after structural relaxation.

Output
Energy relative to the elements: 1034 meV/atom
Electronic total energy: -2.4590 eV per atom
N(E_F): 2.598 states/eV per atom

POSCAR file:
```
KTiAlTl2
1.0
5.3603 0.0000 0.0000
0.0000 5.3603 0.0000
0.0000 0.0000 5.7816
K Ti Al Tl
1 1 1 2
direct
0.0000 0.0000 0.0000
0.5000 0.5000 0.0000
0.0000 0.0000 0.5000
0.0000 0.5000 0.5000
0.5000 0.0000 0.5000
```

=====

## KYTiAl2 (PBE)

Data for KYTiAl2 after structural relaxation.

Output
Energy relative to the elements: 1381 meV/atom
Electronic total energy: -3.2074 eV per atom
N(E_F): 0.868 states/eV per atom

POSCAR file:
```
KYTiAl2
1.0
5.4479 0.0000 0.0000
0.0000 5.4479 0.0000
0.0000 0.0000 5.5946
K Y Ti Al
1 1 1 2
direct
0.0000 0.0000 0.0000
0.0000 0.0000 0.5000
0.5000 0.5000 0.0000
0.0000 0.5000 0.5000
0.5000 0.0000 0.5000
```

=====

## KAl3Tl (PBE)

Data for KAl3Tl after structural relaxation.

Output
Energy relative to the elements: 1351 meV/atom
Electronic total energy: -1.5876 eV per atom
N(E_F): 0.797 states/eV per atom

POSCAR file:
```
KAl3Tl
1.0
5.8290 0.0000 0.0000
0.0000 5.8290 0.0000
0.0000 0.0000 5.8290
K Al Tl
1 3 1
direct
0.0000 0.0000 0.0000
0.0000 0.0000 0.5000
0.0000 0.5000 0.0000
0.5000 0.0000 0.0000
0.5000 0.5000 0.5000
```

=====

## KAl2Tl (PBE)

Data for KAl2Tl after structural relaxation.

Output
Energy relative to the elements: 392 meV/atom
Electronic total energy: -2.3449 eV per atom
N(E_F): 0.090 states/eV per atom

POSCAR file:
```
KAl2Tl
1.0
0.0000 3.7494 3.7494
3.7494 0.0000 3.7494
3.7494 3.7494 0.0000
K Al Tl
1 2 1
direct
0.0000 0.0000 0.0000
0.2500 0.2500 0.2500
0.7500 0.7500 0.7500
0.5000 0.5000 0.5000
```

=====

## KAl3Tl (PBE)

Data for KAl3Tl after structural relaxation.

Output
Energy relative to the elements: 694 meV/atom
Electronic total energy: -2.2444 eV per atom
N(E_F): 0.566 states/eV per atom

POSCAR file:
```
KAl3Tl
1.0
5.5529 0.0000 0.0000
0.0000 5.5529 0.0000
0.0000 0.0000 5.5529
K Al Tl
1 3 1
direct
0.0000 0.0000 0.0000
0.0000 0.5000 0.5000
0.5000 0.0000 0.5000
0.5000 0.5000 0.0000
0.5000 0.5000 0.5000
```

=====

## K2AlTl (PBE)

Data for K2AlTl after structural relaxation.

Output
Energy relative to the elements: 287 meV/atom
Electronic total energy: -1.7888 eV per atom
N(E_F): 0.856 states/eV per atom

POSCAR file:
```
K2AlTl
1.0
0.0000 4.1885 4.1885
4.1885 0.0000 4.1885
4.1885 4.1885 0.0000
K Al Tl
2 1 1
direct
0.2500 0.2500 0.2500
0.7500 0.7500 0.7500
0.0000 0.0000 0.0000
0.5000 0.5000 0.5000
```

=====

## KAl2Tl (PBE)

Data for KAl2Tl after structural relaxation.

Output
Energy relative to the elements: 122 meV/atom
Electronic total energy: -2.6152 eV per atom
N(E_F): 0.213 states/eV per atom

POSCAR file:
```
KAl2Tl
1.0
3.2412 0.0000 0.0000
0.0000 4.0269 0.0000
0.0000 0.0000 8.2096
K Al Tl
1 2 1
direct
0.0000 0.0000 0.0000
0.0000 0.0000 0.5553
0.5000 0.5000 0.6893
0.5000 0.5000 0.3193
```

=====

## KAl2Tl (PBE)

Data for KAl2Tl after structural relaxation.

Output
Energy relative to the elements: 262 meV/atom
Electronic total energy: -2.4752 eV per atom
N(E_F): 0.475 states/eV per atom

POSCAR file:
```
KAl2Tl
1.0
3.2229 0.0000 0.0000
0.0000 5.2224 0.0000
-1.3158 0.0000 6.7853
K Al Tl
1 2 1
direct
0.0000 0.0000 0.0000
0.3118 0.5000 0.6727
0.6882 0.5000 0.3273
0.5000 0.0000 0.5000
```

=====

## K2AlTl (PBE)

Data for K2AlTl after structural relaxation.

Output
Energy relative to the elements: 267 meV/atom
Electronic total energy: -1.8086 eV per atom
N(E_F): 0.757 states/eV per atom

POSCAR file:
```
K2AlTl
1.0
3.2487 -5.7379 0.0000
3.2487 5.7379 0.0000
-0.1639 0.0000 3.7219
K Al Tl
2 1 1
direct
0.0000 0.5000 0.0000
0.5000 0.0000 0.0000
0.0000 0.0000 0.5000
0.5000 0.5000 0.5000
```

=====

## K2AlTl (PBE)

Data for K2AlTl after structural relaxation.

Output
Energy relative to the elements: 90 meV/atom
Electronic total energy: -1.9858 eV per atom
N(E_F): 0.407 states/eV per atom

POSCAR file:
```
K2AlTl
1.0
4.8990 0.0000 0.0000
0.0000 2.8505 6.0027
0.0000 -2.8505 6.0027
K Al Tl
2 1 1
direct
0.0000 0.0000 0.0000
0.5000 0.2983 0.2983
0.5000 0.6042 0.6042
0.0000 0.6952 0.6952
```

=====

## K2AlTl (PBE)

Data for K2AlTl after structural relaxation.

Output
Energy relative to the elements: 272 meV/atom
Electronic total energy: -1.8041 eV per atom
N(E_F): 0.794 states/eV per atom

POSCAR file:
```
K2AlTl
1.0
-2.5024 2.5024 5.6042
2.5024 -2.5024 5.6042
2.5024 2.5024 -5.6042
K Al Tl
2 1 1
direct
0.2500 0.7500 0.5000
0.7500 0.2500 0.5000
0.0000 0.0000 0.0000
0.5000 0.5000 0.0000
```

=====

## K2AlTl (PBE)

Data for K2AlTl after structural relaxation.

Output
Energy relative to the elements: 279 meV/atom
Electronic total energy: -1.7972 eV per atom
N(E_F): 0.983 states/eV per atom

POSCAR file:
```
K2AlTl
1.0
2.4047 -2.6633 0.0000
2.4047 2.6633 0.0000
0.0000 0.0000 11.1556
K Al Tl
2 1 1
direct
0.0000 0.0000 0.2391
0.0000 0.0000 0.7609
0.5000 0.5000 0.0000
0.5000 0.5000 0.5000
```

=====

## K2AlTl (PBE)

Data for K2AlTl after structural relaxation.

Output
Energy relative to the elements: 337 meV/atom
Electronic total energy: -1.7386 eV per atom
N(E_F): 0.748 states/eV per atom

POSCAR file:
```
K2AlTl
1.0
-4.8948 4.8948 3.1955
4.8948 -4.8948 3.1955
4.8948 4.8948 -3.1955
K Al Tl
4 2 2
direct
0.1157 0.6250 0.9907
0.3750 0.3657 0.4907
0.6343 0.1250 0.0093
0.8750 0.8843 0.5093
0.0000 0.0000 0.0000
0.7500 0.2500 0.5000
0.2500 0.7500 0.5000
0.5000 0.5000 0.0000
```

=====

## KAl2Tl (PBE)

Data for KAl2Tl after structural relaxation.

Output
Energy relative to the elements: 275 meV/atom
Electronic total energy: -2.4626 eV per atom
N(E_F): 0.401 states/eV per atom

POSCAR file:
```
KAl2Tl
1.0
2.6489 -2.7203 0.0000
2.6489 2.7203 0.0000
0.0000 0.0000 8.0570
K Al Tl
1 2 1
direct
0.0000 0.0000 0.0000
0.5000 0.5000 0.3193
0.5000 0.5000 0.6807
0.0000 0.0000 0.5000
```

=====

## KAl2Tl (PBE)

Data for KAl2Tl after structural relaxation.

Output
Energy relative to the elements: 387 meV/atom
Electronic total energy: -2.3505 eV per atom
N(E_F): 0.719 states/eV per atom

POSCAR file:
```
KAl2Tl
1.0
4.6327 0.0000 0.0000
0.0000 4.6750 0.0000
0.0000 0.0000 4.9126
K Al Tl
1 2 1
direct
0.0000 0.0000 0.0000
0.0000 0.5000 0.5000
0.5000 0.0000 0.5000
0.5000 0.5000 0.0000
```

=====

## K2AlTl (PBE)

Data for K2AlTl after structural relaxation.

Output
Energy relative to the elements: 283 meV/atom
Electronic total energy: -1.7932 eV per atom
N(E_F): 1.167 states/eV per atom

POSCAR file:
```
K2AlTl
1.0
3.5798 0.0000 0.0000
0.0000 3.5798 0.0000
0.0000 0.0000 11.1508
K Al Tl
2 1 1
direct
0.0000 0.0000 0.2368
0.0000 0.0000 0.7632
0.5000 0.5000 0.0000
0.5000 0.5000 0.5000
```

=====

## KAl2Tl (PBE)

Data for KAl2Tl after structural relaxation.

Output
Energy relative to the elements: 387 meV/atom
Electronic total energy: -2.3503 eV per atom
N(E_F): 0.681 states/eV per atom

POSCAR file:
```
KAl2Tl
1.0
3.1691 -5.2797 0.0000
3.1691 5.2797 0.0000
0.0000 0.0000 3.2123
K Al Tl
1 2 1
direct
0.0000 0.0000 0.0000
0.0000 0.5000 0.5000
0.5000 0.0000 0.5000
0.5000 0.5000 0.0000
```

=====

## KAl2Tl (PBE)

Data for KAl2Tl after structural relaxation.

Output
Energy relative to the elements: 316 meV/atom
Electronic total energy: -2.4207 eV per atom
N(E_F): 0.615 states/eV per atom

POSCAR file:
```
KAl2Tl
1.0
-2.6466 2.6466 9.9448
2.6466 -2.6466 9.9448
2.6466 2.6466 -9.9448
K Al Tl
2 4 2
direct
0.0000 0.0000 0.0000
0.7500 0.2500 0.5000
0.3716 0.6250 0.2466
0.3750 0.6216 0.7466
0.3784 0.1250 0.7534
0.8750 0.6284 0.2534
0.2500 0.7500 0.5000
0.5000 0.5000 0.0000
```

=====

## K2AlTl (PBE)

Data for K2AlTl after structural relaxation.

Output
Energy relative to the elements: 128 meV/atom
Electronic total energy: -1.9477 eV per atom
N(E_F): 0.593 states/eV per atom

POSCAR file:
```
K2AlTl
1.0
3.9196 0.0000 0.0000
0.0000 3.9196 0.0000
0.0000 0.0000 10.2991
K Al Tl
2 1 1
direct
0.0000 0.0000 0.0000
0.5000 0.5000 0.3927
0.5000 0.5000 0.7670
0.0000 0.0000 0.6324
```

=====

## KAl2Tl (PBE)

Data for KAl2Tl after structural relaxation.

Output
Energy relative to the elements: 375 meV/atom
Electronic total energy: -2.3621 eV per atom
N(E_F): 0.393 states/eV per atom

POSCAR file:
```
KAl2Tl
1.0
3.3475 -5.7427 0.0000
3.3475 5.7427 0.0000
-1.1954 0.0000 2.7545
K Al Tl
1 2 1
direct
0.0000 0.0000 0.0000
0.0000 0.5000 0.5000
0.5000 0.0000 0.5000
0.5000 0.5000 0.0000
```

=====

## K2AlTl (PBE)

Data for K2AlTl after structural relaxation.

Output
Energy relative to the elements: 82 meV/atom
Electronic total energy: -1.9938 eV per atom
N(E_F): 0.329 states/eV per atom

POSCAR file:
```
K2AlTl
1.0
5.9451 -2.4242 0.0000
5.9451 2.4242 0.0000
-3.2476 0.0000 5.3184
K Al Tl
2 1 1
direct
0.0000 0.0000 0.0000
0.1891 0.1891 0.6887
0.4003 0.4003 0.3995
0.7832 0.7832 0.2834
```

=====

## K2AlTl (PBE)

Data for K2AlTl after structural relaxation.

Output
Energy relative to the elements: 272 meV/atom
Electronic total energy: -1.8042 eV per atom
N(E_F): 0.619 states/eV per atom

POSCAR file:
```
K2AlTl
1.0
4.7233 0.0000 0.0000
0.0000 5.0685 0.0000
0.0000 0.0000 5.7821
K Al Tl
2 1 1
direct
0.0000 0.0000 0.0000
0.5000 0.5000 0.0000
0.0000 0.5000 0.5000
0.5000 0.0000 0.5000
```

=====

## KAl2Tl (PBE)

Data for KAl2Tl after structural relaxation.

Output
Energy relative to the elements: 384 meV/atom
Electronic total energy: -2.3534 eV per atom
N(E_F): 0.502 states/eV per atom

POSCAR file:
```
KAl2Tl
1.0
1.6823 0.9713 10.8850
-1.6823 0.9713 10.8850
0.0000 -1.9425 10.8850
K Al Tl
1 2 1
direct
0.0000 0.0000 0.0000
0.2424 0.2424 0.2424
0.7575 0.7575 0.7575
0.5000 0.5000 0.5000
```

=====

## KAl2Tl (PBE)

Data for KAl2Tl after structural relaxation.

Output
Energy relative to the elements: 377 meV/atom
Electronic total energy: -2.3598 eV per atom
N(E_F): 0.514 states/eV per atom

POSCAR file:
```
KAl2Tl
1.0
-2.0221 2.5807 5.2360
2.0221 -2.5807 5.2360
2.0221 2.5807 -5.2360
K Al Tl
1 2 1
direct
0.0000 0.0000 0.0000
0.2686 0.7686 0.5000
0.7314 0.2314 0.5000
0.5000 0.5000 0.0000
```

=====

## KAl2Tl (PBE)

Data for KAl2Tl after structural relaxation.

Output
Energy relative to the elements: 132 meV/atom
Electronic total energy: -2.6053 eV per atom
N(E_F): 0.256 states/eV per atom

POSCAR file:
```
KAl2Tl
1.0
4.2683 -1.7342 0.0000
4.2683 1.7342 0.0000
-1.0924 0.0000 7.9526
K Al Tl
1 2 1
direct
0.0000 0.0000 0.0000
0.4908 0.4908 0.4347
0.7603 0.7603 0.3183
0.2378 0.2378 0.6635
```

=====

## K2AlTl (PBE)

Data for K2AlTl after structural relaxation.

Output
Energy relative to the elements: 141 meV/atom
Electronic total energy: -1.9353 eV per atom
N(E_F): 0.255 states/eV per atom

POSCAR file:
```
K2AlTl
1.0
0.0000 3.9873 3.9873
3.9873 0.0000 3.9873
3.9873 3.9873 0.0000
K Al Tl
2 1 1
direct
0.0000 0.0000 0.0000
0.2500 0.2500 0.2500
0.7500 0.7500 0.7500
0.5000 0.5000 0.5000
```